First-principles (PBE) data for a relaxed TmAgAu2 crystal, as listed in the Alexandria database.

Calculated values
**Energy of formation**: -524 meV/atom
**VASP energy**: -3.994 eV per atom
**DOS(E_F)**: 1.69 states/eV/f.u.
**Volume**: 168.1 Å³/cell

Cell: 3.645 6.454 7.449 Å, 90.00 90.00 106.40°
Positions (direct):
Tm: 0.960 0.919 0.250
Tm: 0.040 0.081 0.750
Au: 0.614 0.229 0.449
Au: 0.386 0.771 0.949
Au: 0.386 0.771 0.551
Au: 0.614 0.229 0.051
Ag: 0.249 0.497 0.250
Ag: 0.751 0.503 0.750